Compound: K6RbHg4
Source: Alexandria
Functional: PBE-GGA
Structure: relaxed

## Properties
Theoretical density   3448 kg/m³
Energy relative to the elements   -0.170 eV/atom
Spin magnetization   0.00 μB/f.u.

Unit cell a=12.8190 b=12.7584 c=9.2068 alpha=90.00 beta=134.12 gamma=90.00
Closest atoms and distances in Å follow each position.
Space group Cm (No. 8)
One atom of each set of equivalent atoms:
1 K 0.0000 0.0000 0.0000 (multiplicity 2)  4 Hg 3.60-3.73
2 K 0.1297 0.5000 0.9984 (multiplicity 2)  4 Hg 3.60-3.73
3 K 0.3483 0.2492 0.5665 (multiplicity 4)  4 Hg 3.51
4 K 0.3832 0.1858 0.1346 (multiplicity 4)  4 Hg 3.58-3.72
5 Rb 0.0974 0.0000 0.5686 (multiplicity 2)  11 K 4.43-4.93, 4 Hg 4.45-4.54
6 Hg 0.1587 0.3432 0.6862 (multiplicity 4)  2 Hg 3.23-3.24, 3 K 3.51-3.58
7 Hg 0.1944 0.5000 0.4470 (multiplicity 2)  2 Hg 3.24, 3 K 3.51-3.60
8 Hg 0.3845 0.0000 0.4452 (multiplicity 2)  2 Hg 3.23, 3 K 3.51-3.60